Entry from Alexandria: an optimized crystal structure of CrRe2Tc (PBE-GGA).

Total magnetic moment (Bohr magnetons per cell): 0.00
Volume (A^3/atom): 14.232
Energy relative to the elements (eV per atom): 0.1287
Offset from the most stable computed form (eV per atom): 0.000

```
CrRe2Tc
1.0
2.732 0.000 0.000
0.000 3.831 0.000
0.000 0.000 5.439
Cr Re Tc
1 2 1
Direct
0.500 0.500 0.750
0.000 0.000 0.992
0.000 0.000 0.508
0.500 0.500 0.250
```

***

Entry from Alexandria: an optimized crystal structure of Cr4ReTc (PBE-GGA).

Total magnetic moment (Bohr magnetons per cell): 0.00
Volume (A^3/atom): 12.642
Energy relative to the elements (eV per atom): 0.0241

```
Cr4ReTc
1.0
-2.642 -3.913 0.538
0.204 -2.465 4.057
-3.699 0.023 2.982
Cr Re Tc
4 1 1
Direct
0.126 0.625 0.625
0.625 0.625 0.625
0.625 0.126 0.625
0.625 0.625 0.126
0.250 0.250 0.250
0.000 0.000 0.000
```

***

Entry from Alexandria: an optimized crystal structure of CrRe2Tc (PBE-GGA).

Total magnetic moment (Bohr magnetons per cell): 0.00
Volume (A^3/atom): 14.228
Energy relative to the elements (eV per atom): 0.1313
Offset from the most stable computed form (eV per atom): 0.003

```
CrRe2Tc
1.0
3.014 0.000 0.000
0.000 3.014 0.000
0.000 0.000 6.264
Cr Re Tc
1 2 1
Direct
0.500 0.500 0.768
0.000 0.000 0.969
0.500 0.500 0.253
0.000 0.000 0.509
```

***

Entry from Alexandria: an optimized crystal structure of CrRe2Tc (PBE-GGA).

Total magnetic moment (Bohr magnetons per cell): 0.00
Volume (A^3/atom): 14.193
Energy relative to the elements (eV per atom): 0.1331
Offset from the most stable computed form (eV per atom): 0.004

```
CrRe2Tc
1.0
2.723 0.000 0.000
0.000 2.723 0.000
0.000 0.000 7.656
Cr Re Tc
1 2 1
Direct
0.500 0.500 0.750
0.000 0.000 0.988
0.000 0.000 0.512
0.500 0.500 0.250
```

***

Entry from Alexandria: an optimized crystal structure of CrRe2Tc (PBE-GGA).

Total magnetic moment (Bohr magnetons per cell): 0.00
Volume (A^3/atom): 14.269
Energy relative to the elements (eV per atom): 0.1913
Offset from the most stable computed form (eV per atom): 0.063

```
CrRe2Tc
1.0
-0.858 -1.300 -2.165
2.666 -0.006 0.101
-0.184 -7.310 4.462
Cr Re Tc
1 2 1
Direct
0.500 0.500 0.750
0.000 0.000 0.989
0.000 0.000 0.511
0.500 0.500 0.250
```

***

Entry from Alexandria: an optimized crystal structure of CrRe2Tc (PBE-GGA).

Total magnetic moment (Bohr magnetons per cell): 0.00
Volume (A^3/atom): 14.279
Energy relative to the elements (eV per atom): 0.1389
Offset from the most stable computed form (eV per atom): 0.010

```
CrRe2Tc
1.0
-4.310 -1.829 -0.384
-2.538 -3.898 -0.662
0.514 -0.189 4.681
Cr Re Tc
1 2 1
Direct
0.250 0.250 0.250
0.998 0.998 0.496
0.502 0.502 0.004
0.750 0.750 0.750
```

***

Entry from Alexandria: an optimized crystal structure of CrRe2Tc (PBE-GGA).

Total magnetic moment (Bohr magnetons per cell): 0.00
Volume (A^3/atom): 14.261
Energy relative to the elements (eV per atom): 0.1508
Offset from the most stable computed form (eV per atom): 0.022

```
CrRe2Tc
1.0
-4.558 -0.665 -0.955
0.753 -0.793 4.575
-0.496 2.630 0.538
Cr Re Tc
1 2 1
Direct
0.000 0.500 0.500
0.000 0.000 0.000
0.500 0.500 0.000
0.500 0.000 0.500
```

***

Entry from Alexandria: an optimized crystal structure of CrRe2Tc (PBE-GGA).

Total magnetic moment (Bohr magnetons per cell): 0.00
Volume (A^3/atom): 14.218
Energy relative to the elements (eV per atom): 0.1933
Offset from the most stable computed form (eV per atom): 0.065

```
CrRe2Tc
1.0
4.330 0.000 0.000
0.000 4.330 0.000
0.000 0.000 3.033
Cr Re Tc
1 2 1
Direct
0.000 0.500 0.500
0.000 0.000 0.000
0.500 0.500 0.000
0.500 0.000 0.500
```

***

Entry from Alexandria: an optimized crystal structure of CrRe2Tc (PBE-GGA).

Total magnetic moment (Bohr magnetons per cell): 0.00
Volume (A^3/atom): 14.281
Energy relative to the elements (eV per atom): 0.1578
Offset from the most stable computed form (eV per atom): 0.029

```
CrRe2Tc
1.0
8.963 0.003 0.002
8.545 2.705 0.002
8.545 1.321 2.360
Cr Re Tc
1 2 1
Direct
0.750 0.750 0.750
0.003 0.003 0.003
0.497 0.497 0.497
0.250 0.250 0.250
```

***

Entry from Alexandria: an optimized crystal structure of CrRe2Tc (PBE-GGA).

Total magnetic moment (Bohr magnetons per cell): 0.00
Volume (A^3/atom): 14.253
Energy relative to the elements (eV per atom): 0.1423
Offset from the most stable computed form (eV per atom): 0.014

```
CrRe2Tc
1.0
-1.460 -0.452 -3.911
-0.096 -2.689 0.346
-4.730 -0.732 1.850
Cr Re Tc
1 2 1
Direct
0.500 0.825 0.746
0.000 0.910 0.994
0.500 0.225 0.243
0.000 0.539 0.518
```

***

Entry from Alexandria: an optimized crystal structure of CrRe2Tc (PBE-GGA).

Total magnetic moment (Bohr magnetons per cell): 0.00
Volume (A^3/atom): 14.256
Energy relative to the elements (eV per atom): 0.1599
Offset from the most stable computed form (eV per atom): 0.031

```
CrRe2Tc
1.0
-4.035 -1.350 0.750
-1.638 -3.284 -2.280
-0.682 -3.820 1.899
Cr Re Tc
1 2 1
Direct
0.500 0.500 0.500
0.000 0.000 0.000
0.250 0.250 0.250
0.750 0.750 0.750
```

***

Entry from Alexandria: an optimized crystal structure of Cr6ReTc2 (PBE-GGA).

Total magnetic moment (Bohr magnetons per cell): 0.00
Volume (A^3/atom): 12.916
Energy relative to the elements (eV per atom): 0.1759

```
Cr6ReTc2
1.0
2.568 0.101 -0.053
-0.326 6.404 -3.633
0.528 -0.160 7.146
Cr Re Tc
6 1 2
Direct
0.678 0.342 0.336
0.322 0.658 0.664
0.322 0.006 0.664
0.500 0.666 0.000
0.500 0.334 0.000
0.678 0.994 0.336
0.000 0.000 0.000
0.006 0.332 0.665
0.994 0.668 0.335
```

***

Entry from Alexandria: an optimized crystal structure of TiCrReTc (PBE-GGA).

Total magnetic moment (Bohr magnetons per cell): 0.00
Volume (A^3/atom): 14.095
Energy relative to the elements (eV per atom): -0.2264

```
TiCrReTc
1.0
-2.297 -0.350 3.623
0.837 -3.177 2.780
1.822 0.887 3.797
Re Ti Tc Cr
1 1 1 1
Direct
0.250 0.250 0.250
0.500 0.500 0.500
0.750 0.750 0.750
0.000 0.000 0.000
```

***

Entry from Alexandria: an optimized crystal structure of Tl2CrReTc (PBE-GGA).

Total magnetic moment (Bohr magnetons per cell): 6.67
Volume (A^3/atom): 25.691
Energy relative to the elements (eV per atom): 1.7037

```
Tl2CrReTc
1.0
-4.599 -1.869 -1.847
1.472 -4.283 0.668
-2.001 0.077 4.904
Re Tl Tc Cr
1 2 1 1
Direct
0.000 0.000 0.000
0.000 0.000 0.500
0.500 0.000 0.000
0.500 0.500 0.500
0.000 0.500 0.000
```

***

Entry from Alexandria: an optimized crystal structure of VCrReTc (PBE-GGA).

Total magnetic moment (Bohr magnetons per cell): 0.00
Volume (A^3/atom): 13.625
Energy relative to the elements (eV per atom): -0.1512
Offset from the most stable computed form (eV per atom): 0.000

```
VCrReTc
1.0
3.007 0.000 0.000
0.000 3.007 0.000
0.000 0.000 6.029
V Cr Re Tc
1 1 1 1
Direct
0.500 0.500 0.601
0.500 0.500 0.100
0.000 0.000 0.864
0.000 0.000 0.363
```

***

Entry from Alexandria: an optimized crystal structure of VCrReTc (PBE-GGA).

Total magnetic moment (Bohr magnetons per cell): 0.47
Volume (A^3/atom): 13.644
Energy relative to the elements (eV per atom): -0.1330
Offset from the most stable computed form (eV per atom): 0.018

```
VCrReTc
1.0
4.258 0.000 0.000
2.129 3.687 0.000
2.129 1.229 3.476
Re V Tc Cr
1 1 1 1
Direct
0.000 0.000 0.000
0.750 0.750 0.750
0.500 0.500 0.500
0.250 0.250 0.250
```

***

Entry from Alexandria: an optimized crystal structure of CrReTcW (PBE-GGA).

Total magnetic moment (Bohr magnetons per cell): 1.62
Volume (A^3/atom): 14.655
Energy relative to the elements (eV per atom): 0.0764

```
CrReTcW
1.0
-2.015 0.503 -3.834
-4.267 -0.828 -0.345
-2.818 3.279 -0.568
Re Tc W Cr
1 1 1 1
Direct
0.250 0.250 0.250
0.750 0.750 0.750
0.000 0.000 0.000
0.500 0.500 0.500
```

***

Entry from Alexandria: an optimized crystal structure of ZnCr2ReTc (PBE-GGA).

Total magnetic moment (Bohr magnetons per cell): 0.00
Volume (A^3/atom): 15.754
Energy relative to the elements (eV per atom): 1.8446

```
ZnCr2ReTc
1.0
-2.052 -3.566 0.967
2.618 -2.251 -2.744
2.712 -0.702 3.164
Re Zn Tc Cr
1 1 1 2
Direct
0.500 0.500 0.500
0.000 0.000 0.000
0.000 0.500 0.000
0.000 0.000 0.500
0.500 0.000 0.000
```

***

Entry from Alexandria: an optimized crystal structure of CrReTe2 (PBE-GGA).

Total magnetic moment (Bohr magnetons per cell): 2.44
Volume (A^3/atom): 19.558
E_form (uncorrected) (eV per atom): 0.63
Offset from the most stable computed form (eV per atom): 0.468

```
CrReTe2
1.0
3.370 0.000 0.000
0.000 5.782 0.011
0.000 3.861 4.023
Cr Re Te
1 1 2
Direct
0.500 0.500 0.500
0.000 0.000 0.500
0.000 0.000 0.000
0.500 0.500 0.000
```

***

Entry from Alexandria: an optimized crystal structure of CrReTe2 (PBE-GGA).

Total magnetic moment (Bohr magnetons per cell): 3.87
Volume (A^3/atom): 20.684
E_form (uncorrected) (eV per atom): 0.60
Offset from the most stable computed form (eV per atom): 0.440

```
CrReTe2
1.0
-4.401 -0.432 0.162
-3.111 -0.768 -3.052
-0.604 -5.945 0.379
Cr Re Te
1 1 2
Direct
0.750 0.750 0.750
0.250 0.250 0.250
0.990 0.990 0.016
0.510 0.510 0.484
```

***

Entry from Alexandria: an optimized crystal structure of CrReTe2 (PBE-GGA).

Total magnetic moment (Bohr magnetons per cell): 3.69
Volume (A^3/atom): 21.161
E_form (uncorrected) (eV per atom): 0.55
Offset from the most stable computed form (eV per atom): 0.390

```
CrReTe2
1.0
6.774 0.724 -0.160
4.242 5.330 0.160
-5.133 -3.708 2.515
Cr Re Te
1 1 2
Direct
0.437 0.437 0.000
0.225 0.725 0.500
0.050 0.050 0.000
0.788 0.288 0.500
```

***

Entry from Alexandria: an optimized crystal structure of CrReTe2 (PBE-GGA).

Total magnetic moment (Bohr magnetons per cell): 4.42
Volume (A^3/atom): 23.618
E_form (uncorrected) (eV per atom): 0.73
Offset from the most stable computed form (eV per atom): 0.568

```
CrReTe2
1.0
9.366 -0.047 -0.027
8.747 3.350 -0.027
8.747 1.595 2.946
Re Te Cr
1 2 1
Direct
0.500 0.500 0.500
0.901 0.901 0.901
0.099 0.099 0.099
0.000 0.000 0.000
```

***

Entry from Alexandria: an optimized crystal structure of CrReTe2 (PBE-GGA).

Total magnetic moment (Bohr magnetons per cell): 0.19
Volume (A^3/atom): 22.461
E_form (uncorrected) (eV per atom): 0.39
Offset from the most stable computed form (eV per atom): 0.227

```
CrReTe2
1.0
10.361 0.052 0.030
9.854 3.201 0.030
9.854 1.585 2.781
Cr Re Te
1 1 2
Direct
0.485 0.485 0.485
0.768 0.768 0.768
0.025 0.025 0.025
0.222 0.222 0.222
```

***

Entry from Alexandria: an optimized crystal structure of CrReTe2 (PBE-GGA).

Total magnetic moment (Bohr magnetons per cell): 2.25
Volume (A^3/atom): 18.672
E_form (uncorrected) (eV per atom): 0.61
Offset from the most stable computed form (eV per atom): 0.445

```
CrReTe2
1.0
-3.513 -1.233 -2.912
-1.109 -3.595 2.861
-2.094 1.987 1.686
Cr Re Te
1 1 2
Direct
0.500 0.000 0.500
0.000 0.500 0.500
0.000 0.000 0.000
0.500 0.500 0.000
```

***

Entry from Alexandria: an optimized crystal structure of CrReTe2 (PBE-GGA).

Total magnetic moment (Bohr magnetons per cell): 3.40
Volume (A^3/atom): 21.350
E_form (uncorrected) (eV per atom): 0.89
Offset from the most stable computed form (eV per atom): 0.733

```
CrReTe2
1.0
-2.386 3.317 -1.457
-1.509 0.386 3.350
3.705 3.434 1.750
Cr Re Te
1 1 2
Direct
0.500 0.250 0.250
0.500 0.750 0.750
0.000 0.951 0.002
0.000 0.549 0.498
```

***

Entry from Alexandria: an optimized crystal structure of CrRe3Te (PBE-GGA).

Total magnetic moment (Bohr magnetons per cell): 0.00
Volume (A^3/atom): 18.544
E_form (uncorrected) (eV per atom): 1.65
Offset from the most stable computed form (eV per atom): 0.000

```
CrRe3Te
1.0
-4.224 -1.193 -1.106
0.969 -4.317 0.955
-1.306 0.655 4.284
Re Te Cr
3 1 1
Direct
0.000 0.500 0.000
0.000 0.000 0.500
0.500 0.000 0.000
0.500 0.500 0.500
0.000 0.000 0.000
```

***

Entry from Alexandria: an optimized crystal structure of CrReTe2 (PBE-GGA).

Total magnetic moment (Bohr magnetons per cell): 0.00
Volume (A^3/atom): 20.937
E_form (uncorrected) (eV per atom): 0.32
Offset from the most stable computed form (eV per atom): 0.158

```
CrReTe2
1.0
-0.312 -2.004 -2.399
3.008 -0.849 0.318
-2.300 -6.120 5.412
Cr Re Te
1 1 2
Direct
0.000 0.000 0.525
0.500 0.500 0.720
0.000 0.000 0.910
0.500 0.500 0.346
```

***

Entry from Alexandria: an optimized crystal structure of CrReTe2 (PBE-GGA).

Total magnetic moment (Bohr magnetons per cell): 0.00
Volume (A^3/atom): 24.283
E_form (uncorrected) (eV per atom): 0.27
Offset from the most stable computed form (eV per atom): 0.113

```
CrReTe2
1.0
-3.038 -0.850 2.915
-0.918 -3.707 1.967
3.441 0.525 6.105
Cr Re Te
1 1 2
Direct
0.523 0.523 0.414
0.226 0.226 0.342
0.985 0.985 0.112
0.765 0.765 0.632
```

***

Entry from Alexandria: an optimized crystal structure of CrReTe2 (PBE-GGA).

Total magnetic moment (Bohr magnetons per cell): 2.95
Volume (A^3/atom): 19.246
E_form (uncorrected) (eV per atom): 0.68
Offset from the most stable computed form (eV per atom): 0.517

```
CrReTe2
1.0
-1.387 3.546 -7.517
0.842 1.252 -8.290
-2.342 0.449 -8.081
Cr Re Te
1 1 2
Direct
0.250 0.250 0.250
0.750 0.750 0.750
0.001 0.001 0.001
0.499 0.499 0.499
```

***

Entry from Alexandria: an optimized crystal structure of CrReTe2 (PBE-GGA).

Total magnetic moment (Bohr magnetons per cell): 2.55
Volume (A^3/atom): 19.645
E_form (uncorrected) (eV per atom): 0.89
Offset from the most stable computed form (eV per atom): 0.730

```
CrReTe2
1.0
-2.761 -2.774 -4.099
2.885 -2.466 -4.210
0.098 0.233 5.662
Cr Re Te
1 1 2
Direct
0.500 0.500 0.000
0.750 0.250 0.500
0.000 0.000 0.000
0.250 0.750 0.500
```